The following is a PBE-GGA calculation of an optimized crystal structure of SrMg3Bi3, from Alexandria via LeMat-Bulk.

abc: 9.3248 9.3248 9.3248
angles: 52.87 52.87 52.87
Sites, in units of the cell vectors:
Sr  0.1664  0.1664  0.1664
Sr  0.8336  0.8336  0.8336
Mg  0.0272  0.3758  0.7179
Mg  0.2821  0.9728  0.6242
Mg  0.3758  0.7179  0.0272
Mg  0.6242  0.2821  0.9728
Mg  0.7179  0.0272  0.3758
Mg  0.9728  0.6242  0.2821
Bi  0.1003  0.7375  0.4184
Bi  0.2625  0.5816  0.8997
Bi  0.4184  0.1003  0.7375
Bi  0.5816  0.8997  0.2625
Bi  0.7375  0.4184  0.1003
Bi  0.8997  0.2625  0.5816

Summary:
Its space group is R-3 (148). The calculated formation energy is -0.38 eV/atom. The energy above the lowest structure with this stoichiometry is 0.000 eV/atom. The calculation puts the density of states at the Fermi level at 0.641 states/eV/atom. Its total moment is 0.0 μB/f.u.

The following is a PBE-GGA calculation of an optimized crystal structure of SrMgBi, from Alexandria via LeMat-Bulk.

abc: 9.4031 9.4031 9.4031
angles: 153.77 144.52 44.65
Sites, in units of the cell vectors:
Sr  0.1583  0.1583  0.0000
Sr  0.8417  0.8417  0.0000
Mg  0.2433  0.5000  0.7433
Mg  0.7567  0.5000  0.2567
Bi  0.3527  0.3527  0.0000
Bi  0.6473  0.6473  0.0000

Summary:
Its space group is Immm (71). The calculated formation energy is -0.44 eV/atom. The energy above the lowest structure with this stoichiometry is 0.044 eV/atom. The calculation puts the density of states at the Fermi level at 0.370 states/eV/atom. Its total moment is 0.0 μB/f.u.

The following is a PBE-GGA calculation of an optimized crystal structure of SrMgBi2, from Alexandria via LeMat-Bulk.

abc: 4.6638 4.6638 12.0416
angles: 90.00 90.00 90.00
Sites, in units of the cell vectors:
Sr  0.2500  0.2500  0.2238
Sr  0.7500  0.7500  0.7762
Mg  0.2500  0.7500  0.5000
Mg  0.7500  0.2500  0.5000
Bi  0.2500  0.2500  0.6586
Bi  0.2500  0.7500  0.0000
Bi  0.7500  0.2500  0.0000
Bi  0.7500  0.7500  0.3414

Summary:
Its space group is P4/nmm (129). The calculated formation energy is -0.58 eV/atom. The calculation puts the density of states at the Fermi level at 0.383 states/eV/atom. Its total moment is 0.0 μB/f.u.

The following is a PBE-GGA calculation of an optimized crystal structure of Sr5Mg2Bi5, from Alexandria via LeMat-Bulk.

abc: 8.6625 8.6625 8.6625
angles: 102.08 102.08 125.56
Sites, in units of the cell vectors:
Sr  0.0000  0.0000  0.0000
Sr  0.3801  0.3801  0.5900
Sr  0.3801  0.7901  0.0000
Sr  0.7901  0.3801  0.0000
Sr  0.7901  0.7901  0.4100
Mg  0.1481  0.6481  0.5000
Mg  0.6481  0.1481  0.5000
Bi  0.1970  0.8962  0.3008
Bi  0.4289  0.4289  0.0000
Bi  0.5955  0.8962  0.6992
Bi  0.8962  0.1970  0.3008
Bi  0.8962  0.5955  0.6992

Summary:
Its space group is I4mm (107). The calculated formation energy is -0.68 eV/atom. The calculation puts the density of states at the Fermi level at 0.714 states/eV/atom. Its total moment is 0.0 μB/f.u.

The following is a PBE-GGA calculation of an optimized crystal structure of SrMgBi2, from Alexandria via LeMat-Bulk.

abc: 9.1755 9.1755 9.1755
angles: 26.31 26.31 26.31
Sites, in units of the cell vectors:
Sr  0.0000  0.0000  0.0000
Mg  0.5000  0.5000  0.5000
Bi  0.2391  0.2391  0.2391
Bi  0.7609  0.7609  0.7609

Summary:
Its space group is R-3m (166). The calculated formation energy is -0.33 eV/atom. The calculation puts the density of states at the Fermi level at 0.715 states/eV/atom. Its total moment is 0.0 μB/f.u.

The following is a PBE-GGA calculation of an optimized crystal structure of Sr12Mg5Bi3, from Alexandria via LeMat-Bulk.

abc: 17.2480 17.2480 17.2480
angles: 109.47 109.47 109.47
Sites, in units of the cell vectors:
Sr  0.0583  0.2264  0.1270
Sr  0.0583  0.3320  0.9313
Sr  0.0687  0.6270  0.4006
Sr  0.0687  0.9417  0.6680
Sr  0.0994  0.7264  0.6680
Sr  0.0994  0.8730  0.4313
Sr  0.1270  0.0583  0.2264
Sr  0.1270  0.5687  0.9006
Sr  0.1680  0.2264  0.5994
Sr  0.1680  0.4417  0.5687
Sr  0.2264  0.1270  0.0583
Sr  0.2264  0.5994  0.1680
Sr  0.2736  0.3320  0.9006
Sr  0.2736  0.4417  0.3730
Sr  0.3320  0.9006  0.2736
Sr  0.3320  0.9313  0.0583
Sr  0.3730  0.2736  0.4417
Sr  0.3730  0.5994  0.9313
Sr  0.4006  0.0687  0.6270
Sr  0.4006  0.8320  0.7736
Sr  0.4313  0.0994  0.8730
Sr  0.4313  0.8320  0.5583
Sr  0.4417  0.3730  0.2736
Sr  0.4417  0.5687  0.1680
Sr  0.5583  0.4313  0.8320
Sr  0.5583  0.6270  0.7264
Sr  0.5687  0.1680  0.4417
Sr  0.5687  0.9006  0.1270
Sr  0.5994  0.1680  0.2264
Sr  0.5994  0.9313  0.3730
Sr  0.6270  0.4006  0.0687
Sr  0.6270  0.7264  0.5583
Sr  0.6680  0.0687  0.9417
Sr  0.6680  0.0994  0.7264
Sr  0.7264  0.5583  0.6270
Sr  0.7264  0.6680  0.0994
Sr  0.7736  0.4006  0.8320
Sr  0.7736  0.8730  0.9417
Sr  0.8320  0.5583  0.4313
Sr  0.8320  0.7736  0.4006
Sr  0.8730  0.4313  0.0994
Sr  0.8730  0.9417  0.7736
Sr  0.9006  0.1270  0.5687
Sr  0.9006  0.2736  0.3320
Sr  0.9313  0.0583  0.3320
Sr  0.9313  0.3730  0.5994
Sr  0.9417  0.6680  0.0687
Sr  0.9417  0.7736  0.8730
Mg  0.0000  0.0000  0.0000
Mg  0.0000  0.0000  0.5000
Mg  0.0000  0.5000  0.0000
Mg  0.0000  0.5000  0.5000
Mg  0.1250  0.7500  0.8750
Mg  0.1250  0.8750  0.2500
Mg  0.2500  0.1250  0.8750
Mg  0.2500  0.6250  0.3750
Mg  0.3750  0.2500  0.6250
Mg  0.3750  0.6250  0.7500
Mg  0.5000  0.0000  0.0000
Mg  0.5000  0.0000  0.5000
Mg  0.5000  0.5000  0.0000
Mg  0.5000  0.5000  0.5000
Mg  0.6250  0.3750  0.2500
Mg  0.6250  0.7500  0.3750
Mg  0.7500  0.3750  0.6250
Mg  0.7500  0.8750  0.1250
Mg  0.8750  0.1250  0.7500
Mg  0.8750  0.2500  0.1250
Bi  0.1250  0.2500  0.3750
Bi  0.1250  0.3750  0.7500
Bi  0.2500  0.3750  0.1250
Bi  0.2500  0.8750  0.6250
Bi  0.3750  0.1250  0.2500
Bi  0.3750  0.7500  0.1250
Bi  0.6250  0.2500  0.8750
Bi  0.6250  0.8750  0.7500
Bi  0.7500  0.1250  0.3750
Bi  0.7500  0.6250  0.8750
Bi  0.8750  0.6250  0.2500
Bi  0.8750  0.7500  0.6250

Summary:
Its space group is Ia-3d (230). The calculated formation energy is 0.03 eV/atom. The calculation puts the density of states at the Fermi level at 0.833 states/eV/atom. Its total moment is 0.2 μB/f.u.

The following is a PBE-GGA calculation of an optimized crystal structure of SrMgBi, from Alexandria via LeMat-Bulk.

abc: 11.9435 11.9435 11.9435
angles: 23.16 23.16 23.16
Sites, in units of the cell vectors:
Sr  0.1171  0.1171  0.1171
Sr  0.8829  0.8829  0.8829
Mg  0.3619  0.3619  0.3619
Mg  0.6381  0.6381  0.6381
Bi  0.2751  0.2751  0.2751
Bi  0.7249  0.7249  0.7249

Summary:
Its space group is R-3m (166). The calculated formation energy is -0.43 eV/atom. The energy above the lowest structure with this stoichiometry is 0.046 eV/atom. The calculation puts the density of states at the Fermi level at 0.189 states/eV/atom. Its total moment is 0.0 μB/f.u.

The following is a PBE-GGA calculation of an optimized crystal structure of SrMg3Bi3, from Alexandria via LeMat-Bulk.

abc: 11.7935 4.6044 11.8007
angles: 90.00 119.95 90.00
Sites, in units of the cell vectors:
Sr  0.1667  0.2500  0.3331
Sr  0.8333  0.7500  0.6669
Mg  0.0795  0.2500  0.6326
Mg  0.1327  0.7500  0.0531
Mg  0.4469  0.7500  0.5790
Mg  0.5531  0.2500  0.4210
Mg  0.8673  0.2500  0.9469
Mg  0.9205  0.7500  0.3674
Bi  0.0839  0.2500  0.8837
Bi  0.2002  0.7500  0.5838
Bi  0.3841  0.7500  0.2994
Bi  0.6159  0.2500  0.7006
Bi  0.7998  0.2500  0.4162
Bi  0.9161  0.7500  0.1163

Summary:
Its space group is P2_1/m (11). The calculated formation energy is -0.31 eV/atom. The energy above the lowest structure with this stoichiometry is 0.069 eV/atom. The calculation puts the density of states at the Fermi level at 0.796 states/eV/atom. Its total moment is 0.0 μB/f.u.

The following is a PBE-GGA calculation of an optimized crystal structure of SrMg3Bi3, from Alexandria via LeMat-Bulk.

abc: 8.0699 8.0699 8.0699
angles: 90.00 90.00 90.00
Sites, in units of the cell vectors:
Sr  0.0000  0.0000  0.0000
Sr  0.5000  0.5000  0.5000
Mg  0.0000  0.2500  0.5000
Mg  0.0000  0.7500  0.5000
Mg  0.2500  0.5000  0.0000
Mg  0.5000  0.0000  0.2500
Mg  0.5000  0.0000  0.7500
Mg  0.7500  0.5000  0.0000
Bi  0.0000  0.5000  0.2500
Bi  0.0000  0.5000  0.7500
Bi  0.2500  0.0000  0.5000
Bi  0.5000  0.2500  0.0000
Bi  0.5000  0.7500  0.0000
Bi  0.7500  0.0000  0.5000

Summary:
Its space group is Pm-3n (223). The calculated formation energy is -0.13 eV/atom. The energy above the lowest structure with this stoichiometry is 0.244 eV/atom. The calculation puts the density of states at the Fermi level at 0.731 states/eV/atom. Its total moment is 0.0 μB/f.u.

The following is a PBE-GGA calculation of an optimized crystal structure of SrMg5Bi3, from Alexandria via LeMat-Bulk.

abc: 4.7783 13.5127 9.0163
angles: 90.00 105.20 90.00
Sites, in units of the cell vectors:
Sr  0.0905  0.2500  0.1822
Sr  0.9095  0.7500  0.8178
Mg  0.0000  0.0000  0.0000
Mg  0.0000  0.5000  0.0000
Mg  0.1964  0.5477  0.3944
Mg  0.1964  0.9523  0.3944
Mg  0.4462  0.1370  0.8933
Mg  0.4462  0.3630  0.8933
Mg  0.5538  0.6370  0.1067
Mg  0.5538  0.8630  0.1067
Mg  0.8036  0.0477  0.6056
Mg  0.8036  0.4523  0.6056
Bi  0.1224  0.7500  0.2445
Bi  0.3757  0.5661  0.7504
Bi  0.3757  0.9339  0.7504
Bi  0.6243  0.0661  0.2496
Bi  0.6243  0.4339  0.2496
Bi  0.8776  0.2500  0.7555

Summary:
Its space group is P2_1/m (11). The calculated formation energy is -0.23 eV/atom. The calculation puts the density of states at the Fermi level at 0.415 states/eV/atom. Its total moment is 0.0 μB/f.u.

The following is a PBE-GGA calculation of an optimized crystal structure of SrMg3Bi, from Alexandria via LeMat-Bulk.

abc: 5.7153 5.7153 5.7153
angles: 90.00 90.00 90.00
Sites, in units of the cell vectors:
Sr  0.0000  0.0000  0.0000
Mg  0.0000  0.5000  0.5000
Mg  0.5000  0.0000  0.5000
Mg  0.5000  0.5000  0.0000
Bi  0.5000  0.5000  0.5000

Summary:
Its space group is Pm-3m (221). The calculated formation energy is 0.19 eV/atom. The energy above the lowest structure with this stoichiometry is 0.000 eV/atom. The calculation puts the density of states at the Fermi level at 0.625 states/eV/atom. Its total moment is 0.0 μB/f.u.

The following is a PBE-GGA calculation of an optimized crystal structure of SrMgBi, from Alexandria via LeMat-Bulk.

abc: 4.9575 4.9575 4.7671
angles: 90.00 90.00 120.00
Sites, in units of the cell vectors:
Sr  0.0000  0.0000  0.0000
Mg  0.3333  0.6667  0.5135
Bi  0.6667  0.3333  0.4884

Summary:
Its space group is P3m1 (156). The calculated formation energy is -0.48 eV/atom. The energy above the lowest structure with this stoichiometry is 0.000 eV/atom. The calculation puts the density of states at the Fermi level at 0.465 states/eV/atom. Its total moment is 0.0 μB/f.u.